## Tl3Te2Se2 (GGA-PBE)

Data for a relaxed structure of Tl3Te2Se2.

a b c (Å): 5.218 6.374 9.680
angles (deg): 77.66 86.42 49.61
Element x y z (fractional)
Se  0.793  0.636  0.897
Se  0.207  0.364  0.103
Tl  0.364  0.424  0.706
Tl  0.000  0.000  0.000
Tl  0.636  0.576  0.294
Te  0.787  0.954  0.441
Te  0.213  0.046  0.559

Space group: P-1
Energy relative to the elements, uncorrected (eV per atom): -0.1857

## TlRu2Se (GGA-PBE)

Data for a relaxed structure of TlRu2Se.

a b c (Å): 4.571 4.571 4.571
angles (deg): 60.00 60.00 60.00
Element x y z (fractional)
Se  0.000  0.000  0.000
Ru  0.250  0.250  0.250
Ru  0.750  0.750  0.750
Tl  0.500  0.500  0.500

Space group: Fm-3m
Energy relative to the elements, uncorrected (eV per atom): 0.6010

## V8OsC2 (GGA-PBE)

Data for a relaxed structure of V8OsC2.

a b c (Å): 4.264 5.847 5.847
angles (deg): 110.71 97.76 97.76
Element x y z (fractional)
V  0.914  0.660  0.923
V  0.500  0.747  0.253
V  0.295  0.608  0.608
V  0.500  0.253  0.747
V  0.914  0.923  0.660
V  0.086  0.077  0.340
V  0.086  0.340  0.077
V  0.705  0.392  0.392
C  0.000  0.313  0.687
C  0.000  0.687  0.313
Os  0.500  0.000  0.000

Space group: C2/m
ΔH_f (0 K) (eV/f.u.): -1.939

## YCoW2 (GGA-PBE)

Data for a relaxed structure of YCoW2.

a b c (Å): 3.212 3.212 6.774
angles (deg): 90.00 90.00 90.00
Element x y z (fractional)
Co  0.500  0.500  0.790
W  0.500  0.500  0.206
W  0.000  0.000  0.994
Y  0.000  0.000  0.510

Space group: P4mm
ΔH_f (0 K) (eV/f.u.): 1.116

## LiZn2Br (GGA-PBE)

Data for a relaxed structure of LiZn2Br.

a b c (Å): 3.364 3.364 7.617
angles (deg): 90.00 90.00 90.00
Element x y z (fractional)
Zn  0.000  0.000  0.998
Zn  0.000  0.000  0.502
Br  0.500  0.500  0.250
Li  0.500  0.500  0.750

Space group: P4/mmm
Energy relative to the elements, uncorrected (eV per atom): -0.0764

## ZrCdP2 (GGA-PBE)

Data for a relaxed structure of ZrCdP2.

a b c (Å): 3.076 3.076 8.515
angles (deg): 90.00 90.00 102.19
Element x y z (fractional)
Zr  0.000  0.000  0.473
P  0.500  0.500  0.276
P  0.000  0.000  0.989
Cd  0.500  0.500  0.761

Space group: Cmm2
ΔH_f (0 K) (eV/f.u.): 0.492

## PmTiCuSn (GGA-PBE)

Data for a relaxed structure of PmTiCuSn.

a b c (Å): 4.979 4.979 4.979
angles (deg): 60.00 60.00 60.00
Each line ends with the local moment (μB).
Element x y z (fractional)
Cu  0.000  0.000  0.000  0.03
Sn  0.500  0.500  0.500  -0.04
Pm  0.750  0.750  0.750  0.12
Ti  0.250  0.250  0.250  1.27

Space group: F-43m
ΔH_f (0 K) (eV/f.u.): -0.631

## MgPt2SCl (GGA-PBE)

Data for a relaxed structure of MgPt2SCl.

a b c (Å): 4.385 6.128 4.385
angles (deg): 90.00 90.00 90.00
Element x y z (fractional)
Pt  0.000  0.000  0.500
Pt  0.500  0.000  0.000
S  0.000  0.000  0.000
Cl  0.000  0.500  0.000
Mg  0.500  0.500  0.500

Space group: P4/mmm
Energy relative to the elements, uncorrected (eV per atom): 0.0506

## KMn4Sb (GGA-PBE)

Data for a relaxed structure of KMn4Sb.

a b c (Å): 5.584 5.584 5.584
angles (deg): 60.00 60.00 60.00
Each line ends with the local moment (μB).
Element x y z (fractional)
Mn  0.376  0.376  0.376  3.76
Mn  0.872  0.376  0.376  3.76
Mn  0.376  0.376  0.872  3.76
Mn  0.376  0.872  0.376  3.76
Sb  0.750  0.750  0.750  -0.02
K  0.000  0.000  0.000  0.02

Space group: F-43m
Energy relative to the elements, uncorrected (eV per atom): 0.6747

## TaCoC2 (GGA-PBE)

Data for a relaxed structure of TaCoC2.

a b c (Å): 4.453 4.453 5.726
angles (deg): 67.12 67.12 90.00
Element x y z (fractional)
C  0.164  0.625  0.250
C  0.375  0.414  0.750
C  0.875  0.836  0.750
C  0.586  0.125  0.250
Ta  0.000  0.000  0.000
Ta  0.750  0.250  0.500
Co  0.250  0.750  0.500
Co  0.500  0.500  0.000

Space group: I-42d
ΔH_f (0 K) (eV/f.u.): 1.708

## HoTlAgBr5 (GGA-PBE)

Data for a relaxed structure of HoTlAgBr5.

a b c (Å): 7.955 7.955 10.642
angles (deg): 102.45 102.45 109.56
Element x y z (fractional)
Ho  0.000  0.000  0.000
Ho  0.000  0.000  0.500
Ag  0.691  0.309  0.250
Ag  0.309  0.691  0.750
Tl  0.354  0.646  0.250
Tl  0.646  0.354  0.750
Br  0.692  0.084  0.404
Br  0.744  0.631  0.440
Br  0.916  0.308  0.096
Br  0.256  0.369  0.560
Br  0.631  0.744  0.940
Br  0.308  0.916  0.596
Br  0.074  0.926  0.250
Br  0.926  0.074  0.750
Br  0.084  0.692  0.904
Br  0.369  0.256  0.060

Space group: C2/c
Energy relative to the elements, uncorrected (eV per atom): -1.2253

no.,uncorrected energy (eV per atom),calculated volume (Å³/cell)
1,-3.093,238.3
2,-5.500,67.5
3,-9.506,132.4
4,-9.590,69.9
5,-1.610,86.2
6,-4.948,78.8
7,-5.344,87.3
8,-3.879,117.8
9,-6.308,123.1
10,-8.925,94.8
11,-3.495,588.5